No. 1
## Na2Li2CaBi2 (PBE)

Data for an optimized crystal structure of Na2Li2CaBi2.

a b c (Å): 4.9954 4.9954 9.2617
angles (deg): 74.35 74.35 60.00
Closest atoms and distances in Å follow each position.
Fractional positions:
Na (0.1341, 0.1341, 0.5977)  4 Bi 3.33-3.39, 3 Na 3.36, 3 Li 3.46, 1 Ca 3.54
Na (0.8659, 0.8659, 0.4023)  4 Bi 3.33-3.39, 3 Na 3.36, 3 Li 3.46, 1 Ca 3.54
Li (0.6047, 0.6047, 0.1859)  3 Bi 2.89
Li (0.3953, 0.3953, 0.8141)  3 Bi 2.89
Ca (0.0000, 0.0000, 0.0000)  6 Li 3.32, 6 Bi 3.44, 2 Na 3.54
Bi (0.7375, 0.7375, 0.7874)  3 Li 2.89
Bi (0.2625, 0.2625, 0.2126)  3 Li 2.89

Summary:
Electronic total energy in eV per cell: -20.230
Mass density in g cm⁻³: 4.522
Crystal system: trigonal
Energy of formation in eV per atom: -0.5715
DOS(E_F) in states/eV per cell: 0.19

=====

No. 2
## LiCaNdBi (PBE)

Data for an optimized crystal structure of LiCaNdBi.

a b c (Å): 5.4710 5.4710 5.4710
angles (deg): 60.00 60.00 60.00
Closest atoms and distances in Å follow each position.
Fractional positions:
Ca (0.2500, 0.2500, 0.2500)  4 Li 3.35, 4 Bi 3.35
Nd (0.7500, 0.7500, 0.7500)  4 Li 3.35, 4 Bi 3.35
Bi (0.5000, 0.5000, 0.5000)  4 Ca 3.35, 4 Nd 3.35
Li (0.0000, 0.0000, 0.0000)  4 Nd 3.35, 4 Ca 3.35

Summary:
Electronic total energy in eV per cell: -14.066
Mass density in g cm⁻³: 5.740
Crystal system: cubic
Energy of formation in eV per atom: -0.3754
DOS(E_F) in states/eV per cell: 3.49

=====

No. 3
## Li3Ca2BiO6 (PBE)

Data for an optimized crystal structure of Li3Ca2BiO6.

a b c (Å): 5.8691 5.8691 5.4180
angles (deg): 98.76 98.76 121.88
Closest atoms and distances in Å follow each position.
Fractional positions:
Li (0.1309, 0.8691, 0.5000)  4 O 2.10-2.17
Li (0.8691, 0.1309, 0.5000)  4 O 2.10-2.17
Li (0.5000, 0.5000, 0.5000)  6 O 2.33-2.34
Ca (0.3314, 0.6686, 0.0000)  6 O 2.36-2.40
Ca (0.6686, 0.3314, 0.0000)  6 O 2.36-2.40
Bi (0.0000, 0.0000, 0.0000)  6 O 2.15-2.17
O (0.9283, 0.6291, 0.7579)  1 Bi 2.15, 2 Li 2.17-2.33, 2 Ca 2.36-2.40
O (0.7611, 0.7611, 0.2427)  3 Li 2.10-2.34, 1 Bi 2.17
O (0.0717, 0.3709, 0.2421)  1 Bi 2.15, 2 Li 2.17-2.33, 2 Ca 2.36-2.40
O (0.6291, 0.9283, 0.7579)  1 Bi 2.15, 2 Li 2.17-2.33, 2 Ca 2.36-2.40
O (0.2389, 0.2389, 0.7573)  3 Li 2.10-2.34, 1 Bi 2.17
O (0.3709, 0.0717, 0.2421)  1 Bi 2.15, 2 Li 2.17-2.33, 2 Ca 2.36-2.40

Summary:
Electronic total energy in eV per cell: -67.370
Mass density in g cm⁻³: 4.479
Crystal system: monoclinic
Formation energy without anion corrections in eV per atom: -2.00
DOS(E_F) in states/eV per cell: 0.00

=====

No. 4
## Li2CaBiO (PBE)

Data for an optimized crystal structure of Li2CaBiO.

a b c (Å): 4.5496 4.5496 4.5061
angles (deg): 90.00 90.00 90.00
Closest atoms and distances in Å follow each position.
Fractional positions:
Ca (0.0000, 0.0000, 0.5000)  2 O 2.25
Bi (0.5000, 0.5000, 0.5000)  8 Li 3.20, 4 Ca 3.22
O (0.0000, 0.0000, 0.0000)  2 Ca 2.25, 4 Li 2.27
Li (0.0000, 0.5000, 0.0000)  2 O 2.27
Li (0.5000, 0.0000, 0.0000)  2 O 2.27

Summary:
Electronic total energy in eV per cell: -20.962
Mass density in g cm⁻³: 4.966
Crystal system: tetragonal
Formation energy without anion corrections in eV per atom: -1.26
DOS(E_F) in states/eV per cell: 2.65

=====

No. 5
## Li2CaBiOs (PBE)

Data for an optimized crystal structure of Li2CaBiOs.

a b c (Å): 4.8895 5.1390 4.8895
angles (deg): 90.00 90.00 90.00
Closest atoms and distances in Å follow each position.
Fractional positions:
Ca (0.5000, 0.5000, 0.5000)  4 Bi 3.46, 8 Li 3.55
Os (0.0000, 0.0000, 0.0000)  4 Li 2.44, 2 Bi 2.57
Bi (0.0000, 0.5000, 0.0000)  2 Os 2.57
Li (0.0000, 0.0000, 0.5000)  2 Os 2.44
Li (0.5000, 0.0000, 0.0000)  2 Os 2.44

Summary:
Electronic total energy in eV per cell: -19.752
Mass density in g cm⁻³: 6.125
Crystal system: tetragonal
Energy of formation in eV per atom: 0.2376
DOS(E_F) in states/eV per cell: 1.77

=====

No. 6
## LiCa2BiP (PBE)

Data for an optimized crystal structure of LiCa2BiP.

a b c (Å): 5.5199 5.5199 4.6298
angles (deg): 90.00 90.00 90.00
Closest atoms and distances in Å follow each position.
Fractional positions:
P (0.0000, 0.0000, 0.0000)  2 Li 2.31
Ca (0.0000, 0.5000, 0.0000)  2 P 2.76
Ca (0.5000, 0.0000, 0.0000)  2 P 2.76
Bi (0.5000, 0.5000, 0.5000)  8 Ca 3.60, 4 Li 3.90
Li (0.0000, 0.0000, 0.5000)  2 P 2.31

Summary:
Electronic total energy in eV per cell: -19.001
Mass density in g cm⁻³: 3.850
Crystal system: tetragonal
Energy of formation in eV per atom: -0.7587
DOS(E_F) in states/eV per cell: 3.70

=====

No. 7
## LiCa2PaBi4 (PBE)

Data for an optimized crystal structure of LiCa2PaBi4.

a b c (Å): 5.3046 5.3141 9.8313
angles (deg): 122.83 90.00 90.00
Closest atoms and distances in Å follow each position.
Fractional positions:
Li (0.5000, 0.5000, 0.0000)  8 Bi 3.27-3.28
Ca (0.5000, 0.0000, 0.5000)  8 Bi 3.45-3.46, 4 Ca 3.75
Ca (0.0000, 0.5000, 0.5000)  8 Bi 3.45-3.46, 4 Ca 3.75
Pa (0.0000, 0.0000, 0.0000)  8 Bi 3.28
Bi (0.5000, 0.2324, 0.2328)  2 Li 3.28, 2 Pa 3.28, 4 Ca 3.45-3.46
Bi (0.5000, 0.7676, 0.7672)  2 Li 3.28, 2 Pa 3.28, 4 Ca 3.45-3.46
Bi (0.0000, 0.2673, 0.7676)  2 Li 3.27, 2 Pa 3.28, 4 Ca 3.45-3.46
Bi (0.0000, 0.7327, 0.2324)  2 Li 3.27, 2 Pa 3.28, 4 Ca 3.45-3.46

Summary:
Electronic total energy in eV per cell: -34.517
Mass density in g cm⁻³: 8.229
Crystal system: monoclinic
Energy of formation in eV per atom: -0.4475
DOS(E_F) in states/eV per cell: 5.73

=====

No. 8
## Li2CaBi2Pd2 (PBE)

Data for an optimized crystal structure of Li2CaBi2Pd2.

a b c (Å): 4.6015 4.6015 8.7459
angles (deg): 74.75 74.75 60.00
Closest atoms and distances in Å follow each position.
Fractional positions:
Li (0.1409, 0.1409, 0.5774)  3 Pd 2.77, 4 Bi 2.84-3.07, 3 Li 2.95
Li (0.8591, 0.8591, 0.4226)  3 Pd 2.77, 4 Bi 2.84-3.07, 3 Li 2.95
Ca (0.0000, 0.0000, 0.0000)  6 Bi 3.31, 2 Li 3.52
Bi (0.7457, 0.7457, 0.7629)  3 Pd 2.76, 4 Li 2.84-3.07
Bi (0.2543, 0.2543, 0.2371)  3 Pd 2.76, 4 Li 2.84-3.07
Pd (0.5574, 0.5574, 0.3278)  3 Bi 2.76, 3 Li 2.77, 1 Pd 2.87
Pd (0.4426, 0.4426, 0.6722)  3 Bi 2.76, 3 Li 2.77, 1 Pd 2.87

Summary:
Electronic total energy in eV per cell: -27.709
Mass density in g cm⁻³: 7.442
Crystal system: trigonal
Energy of formation in eV per atom: -0.5332
DOS(E_F) in states/eV per cell: 4.00

=====

Which formula does entry 3 have? Li3Ca2BiO6

=====

DOS(E_F) of number 6 (LiCa2BiP)? 3.70 states/eV per cell

=====

Look up the DOS(E_F) of the eighth one. 4.00 states/eV per cell

=====

Copy entry 3 word for word.
## Li3Ca2BiO6 (PBE)

Data for an optimized crystal structure of Li3Ca2BiO6.

a b c (Å): 5.8691 5.8691 5.4180
angles (deg): 98.76 98.76 121.88
Closest atoms and distances in Å follow each position.
Fractional positions:
Li (0.1309, 0.8691, 0.5000)  4 O 2.10-2.17
Li (0.8691, 0.1309, 0.5000)  4 O 2.10-2.17
Li (0.5000, 0.5000, 0.5000)  6 O 2.33-2.34
Ca (0.3314, 0.6686, 0.0000)  6 O 2.36-2.40
Ca (0.6686, 0.3314, 0.0000)  6 O 2.36-2.40
Bi (0.0000, 0.0000, 0.0000)  6 O 2.15-2.17
O (0.9283, 0.6291, 0.7579)  1 Bi 2.15, 2 Li 2.17-2.33, 2 Ca 2.36-2.40
O (0.7611, 0.7611, 0.2427)  3 Li 2.10-2.34, 1 Bi 2.17
O (0.0717, 0.3709, 0.2421)  1 Bi 2.15, 2 Li 2.17-2.33, 2 Ca 2.36-2.40
O (0.6291, 0.9283, 0.7579)  1 Bi 2.15, 2 Li 2.17-2.33, 2 Ca 2.36-2.40
O (0.2389, 0.2389, 0.7573)  3 Li 2.10-2.34, 1 Bi 2.17
O (0.3709, 0.0717, 0.2421)  1 Bi 2.15, 2 Li 2.17-2.33, 2 Ca 2.36-2.40

Summary:
Electronic total energy in eV per cell: -67.370
Mass density in g cm⁻³: 4.479
Crystal system: monoclinic
Formation energy without anion corrections in eV per atom: -2.00
DOS(E_F) in states/eV per cell: 0.00